# 1
Density functional theory data (GGA-PBE) for a relaxed structure of KPS2.

Values from the calculation:
**E_form (uncorrected)**: -0.39 eV per formula unit
**Magnetization**: 0.000 Bohr magnetons per cell

a b c (Å): 3.6561 3.6561 25.3173
angles (deg): 90.00 90.00 120.00
Space group R-3m (No. 166, hexagonal axes)
Unique sites:
K1 0.0000 0.0000 0.0000 [3 per cell]
P1 0.0000 0.0000 0.5000 [3 per cell]
S1 0.0000 0.0000 0.1143 [6 per cell]

=====

# 2
Density functional theory data (GGA-PBE) for a relaxed structure of K5P2S12.

Values from the calculation:
**E_form (uncorrected)**: -10.51 eV per formula unit
**Magnetization**: 0.000 Bohr magnetons per cell

a b c (Å): 8.0168 8.6026 9.8973
angles (deg): 67.05 68.01 66.35
Space group P-1 (No. 2)
Unique sites:
K1 0.0000 0.0000 0.0000 [1 per cell]
K2 0.0402 0.7373 0.4957 [2 per cell]
K3 0.2914 0.4329 0.9428 [2 per cell]
P1 0.4843 0.9699 0.8173 [2 per cell]
S1 0.1090 0.3427 0.7428 [2 per cell]
S2 0.2179 0.8309 0.7140 [2 per cell]
S3 0.2415 0.0613 0.2131 [2 per cell]
S4 0.3424 0.4332 0.2608 [2 per cell]
S5 0.3972 0.2380 0.6839 [2 per cell]
S6 0.4950 0.8136 0.6564 [2 per cell]

=====

Computed E (eV per atom) in order:
-3.79, -4.02